(1)
! SrNiMo | Alexandria | PBE-GGA | relaxed; values from VASP
&SYSTEM
  ibrav = 0, nat = 6, ntyp = 3
/
ATOMIC_SPECIES
Sr 87.62 Sr.upf
Ni 58.69 Ni.upf
Mo 95.94 Mo.upf
ATOMIC_POSITIONS angstrom
Sr 0.794 0.804 1.856
Sr 2.410 2.108 10.213
Ni 0.793 0.473 8.008
Ni 2.412 2.439 4.061
Mo 0.790 0.825 5.268
Mo 2.415 2.086 6.801
CELL_PARAMETERS angstrom
3.238 0.000 0.000
-0.002 3.314 0.000
-0.032 -0.402 12.069
! - energy relative to the lowest polymorph listed for this composition (eV/atom) = 0.029
! - M_tot (μB/f.u.) = 0.000
! - final energy (eV per atom) = -5.7935

---

(2)
! Sr2NiMo | Alexandria | PBE-GGA | relaxed; values from VASP
&SYSTEM
  ibrav = 0, nat = 8, ntyp = 3
/
ATOMIC_SPECIES
Sr 87.62 Sr.upf
Ni 58.69 Ni.upf
Mo 95.94 Mo.upf
ATOMIC_POSITIONS angstrom
Sr 0.000 0.000 0.000
Sr 0.000 2.289 2.533
Sr 2.289 0.000 7.599
Sr 2.289 2.289 5.066
Ni 0.000 0.000 5.066
Ni 2.289 2.289 0.000
Mo 0.000 2.289 7.599
Mo 2.289 0.000 2.533
CELL_PARAMETERS angstrom
4.577 0.000 0.000
0.000 4.577 0.000
0.000 0.000 10.132
! - energy relative to the lowest polymorph listed for this composition (eV/atom) = 0.466
! - M_tot (μB/f.u.) = 3.979
! - final energy (eV per atom) = -3.9989

---

(3)
! Sr2NiMo | Alexandria | PBE-GGA | relaxed; values from VASP
&SYSTEM
  ibrav = 0, nat = 8, ntyp = 3
/
ATOMIC_SPECIES
Sr 87.62 Sr.upf
Ni 58.69 Ni.upf
Mo 95.94 Mo.upf
ATOMIC_POSITIONS angstrom
Sr 0.000 0.000 2.063
Sr 0.000 0.000 7.528
Sr 2.016 2.612 2.732
Sr 2.016 2.612 6.859
Ni 0.000 2.612 4.796
Ni 2.016 0.000 0.000
Mo 0.000 2.612 0.000
Mo 2.016 0.000 4.796
CELL_PARAMETERS angstrom
4.032 0.000 0.000
0.000 5.225 0.000
0.000 0.000 9.591
! - energy relative to the lowest polymorph listed for this composition (eV/atom) = 0.445
! - M_tot (μB/f.u.) = 2.699
! - final energy (eV per atom) = -4.0194

---

(4)
! SrNiMo4 | Alexandria | PBE-GGA | relaxed; values from VASP
&SYSTEM
  ibrav = 0, nat = 6, ntyp = 3
/
ATOMIC_SPECIES
Sr 87.62 Sr.upf
Ni 58.69 Ni.upf
Mo 95.94 Mo.upf
ATOMIC_POSITIONS angstrom
Sr 0.000 0.000 0.000
Ni 1.909 1.909 1.909
Mo 4.775 2.861 2.861
Mo 2.861 4.775 2.861
Mo 2.861 2.861 4.775
Mo 4.775 4.775 4.775
CELL_PARAMETERS angstrom
0.000 3.818 3.818
3.818 0.000 3.818
3.818 3.818 0.000
! - M_tot (μB/f.u.) = 0.001
! - final energy (eV per atom) = -7.6736

---

(5)
! SrNiMo | Alexandria | PBE-GGA | relaxed; values from VASP
&SYSTEM
  ibrav = 0, nat = 12, ntyp = 3
/
ATOMIC_SPECIES
Sr 87.62 Sr.upf
Ni 58.69 Ni.upf
Mo 95.94 Mo.upf
ATOMIC_POSITIONS angstrom
Sr 0.000 2.422 1.266
Sr 0.000 9.236 3.798
Sr 2.176 3.407 3.798
Sr 2.176 8.251 1.266
Ni 0.000 0.579 3.798
Ni 0.000 11.080 1.266
Ni 2.176 5.250 1.266
Ni 2.176 6.408 3.798
Mo 0.000 5.829 0.000
Mo 0.000 5.829 2.532
Mo 2.176 0.000 0.000
Mo 2.176 0.000 2.532
CELL_PARAMETERS angstrom
4.351 0.000 0.000
0.000 11.658 0.000
0.000 0.000 5.064
! - energy relative to the lowest polymorph listed for this composition (eV/atom) = 0.000
! - M_tot (μB/f.u.) = 0.000
! - final energy (eV per atom) = -5.8227

---

(6)
! SrNiMo | Alexandria | PBE-GGA | relaxed; values from VASP
&SYSTEM
  ibrav = 0, nat = 3, ntyp = 3
/
ATOMIC_SPECIES
Sr 87.62 Sr.upf
Ni 58.69 Ni.upf
Mo 95.94 Mo.upf
ATOMIC_POSITIONS angstrom
Sr 0.000 0.000 0.000
Ni 0.000 2.329 2.519
Mo 2.017 1.164 2.519
CELL_PARAMETERS angstrom
4.034 0.000 0.000
-2.017 3.493 0.000
0.000 0.000 5.038
! - energy relative to the lowest polymorph listed for this composition (eV/atom) = 0.293
! - M_tot (μB/f.u.) = 0.002
! - final energy (eV per atom) = -5.5300

---

(7)
! Sr4NiMo | Alexandria | PBE-GGA | relaxed; values from VASP
&SYSTEM
  ibrav = 0, nat = 6, ntyp = 3
/
ATOMIC_SPECIES
Sr 87.62 Sr.upf
Ni 58.69 Ni.upf
Mo 95.94 Mo.upf
ATOMIC_POSITIONS angstrom
Sr 1.211 1.211 1.211
Sr 3.630 3.630 1.211
Sr 3.630 1.211 3.630
Sr 1.211 3.630 3.630
Ni 4.841 4.841 4.841
Mo 7.261 7.261 7.261
CELL_PARAMETERS angstrom
0.000 4.841 4.841
4.841 0.000 4.841
4.841 4.841 0.000
! - M_tot (μB/f.u.) = 4.835
! - final energy (eV per atom) = -2.4932

---

(8)
! SrNiMo | Alexandria | PBE-GGA | relaxed; values from VASP
&SYSTEM
  ibrav = 0, nat = 12, ntyp = 3
/
ATOMIC_SPECIES
Sr 87.62 Sr.upf
Ni 58.69 Ni.upf
Mo 95.94 Mo.upf
ATOMIC_POSITIONS angstrom
Sr -0.423 0.000 1.841
Sr 1.901 1.841 4.413
Sr 5.520 1.841 1.841
Sr 7.845 0.000 4.413
Ni -1.598 1.841 4.172
Ni 3.075 0.000 2.083
Ni 4.346 0.000 4.172
Ni 9.019 1.841 2.083
Mo 2.369 1.841 0.570
Mo -0.891 0.000 5.685
Mo 8.313 0.000 0.570
Mo 5.052 1.841 5.685
CELL_PARAMETERS angstrom
11.887 0.000 0.000
0.000 3.681 0.000
-4.466 0.000 6.255
! - energy relative to the lowest polymorph listed for this composition (eV/atom) = 0.069
! - M_tot (μB/f.u.) = 0.000
! - final energy (eV per atom) = -5.7540

---

(9)
! SrTiNiMo2 | Alexandria | PBE-GGA | relaxed; values from VASP
&SYSTEM
  ibrav = 0, nat = 5, ntyp = 4
/
ATOMIC_SPECIES
Sr 87.62 Sr.upf
Ti 47.87 Ti.upf
Ni 58.69 Ni.upf
Mo 95.94 Mo.upf
ATOMIC_POSITIONS angstrom
Sr 0.000 0.000 0.000
Ti 2.329 2.329 2.444
Ni 2.329 2.329 0.000
Mo 0.000 2.329 2.444
Mo 2.329 0.000 2.444
CELL_PARAMETERS angstrom
4.658 0.000 0.000
0.000 4.658 0.000
0.000 0.000 4.888
! - M_tot (μB/f.u.) = 1.118
! - final energy (eV per atom) = -6.3632

---

(10)
! Sr2ZrNiMo | Alexandria | PBE-GGA | relaxed; values from VASP
&SYSTEM
  ibrav = 0, nat = 5, ntyp = 4
/
ATOMIC_SPECIES
Sr 87.62 Sr.upf
Zr 91.22 Zr.upf
Ni 58.69 Ni.upf
Mo 95.94 Mo.upf
ATOMIC_POSITIONS angstrom
Sr 0.000 3.103 0.000
Sr 3.103 0.000 0.000
Zr 0.000 0.000 0.000
Ni 0.000 0.000 2.260
Mo 3.103 3.103 2.260
CELL_PARAMETERS angstrom
6.205 0.000 0.000
0.000 6.205 0.000
0.000 0.000 4.519
! - M_tot (μB/f.u.) = 3.339
! - final energy (eV per atom) = -4.1882

---

(11)
! Ta2NiMo | Alexandria | PBE-GGA | relaxed; values from VASP
&SYSTEM
  ibrav = 0, nat = 8, ntyp = 3
/
ATOMIC_SPECIES
Ta 180.95 Ta.upf
Ni 58.69 Ni.upf
Mo 95.94 Mo.upf
ATOMIC_POSITIONS angstrom
Ta 0.000 0.000 0.000
Ta 0.000 2.153 2.384
Ta 1.710 0.000 2.384
Ta 1.710 2.153 0.000
Ni 0.000 0.000 4.381
Ni 1.710 2.153 4.381
Mo 0.000 2.153 6.280
Mo 1.710 0.000 6.280
CELL_PARAMETERS angstrom
3.420 0.000 0.000
0.000 4.305 0.000
0.000 0.000 8.596
! - M_tot (μB/f.u.) = 0.000
! - final energy (eV per atom) = -10.1067

---

(12)
! Ta2NiMo | Alexandria | PBE-GGA | relaxed; values from VASP
&SYSTEM
  ibrav = 0, nat = 8, ntyp = 3
/
ATOMIC_SPECIES
Ta 180.95 Ta.upf
Ni 58.69 Ni.upf
Mo 95.94 Mo.upf
ATOMIC_POSITIONS angstrom
Ta 0.000 0.000 0.000
Ta 0.000 2.203 2.129
Ta 1.649 0.000 6.528
Ta 1.649 2.203 4.400
Ni 0.000 0.000 4.340
Ni 1.649 2.203 8.739
Mo 0.000 2.203 6.518
Mo 1.649 0.000 2.119
CELL_PARAMETERS angstrom
3.299 0.000 0.000
0.000 4.406 0.000
0.000 0.000 8.799
! - M_tot (μB/f.u.) = 0.000
! - final energy (eV per atom) = -10.0864

---

no.,energy relative to the elements (eV per atom)
1,0.305
2,0.995
3,0.975
4,0.791
5,0.275
6,0.568
7,1.397
8,0.344
9,1.041
10,1.517
11,-0.027
12,-0.007